Entry 1:
A plane-wave DFT calculation with GGA-PBE was carried out for a geometry-optimized TmCo2PC structure.

Lattice parameters (Å, degrees): 5.538 5.538 6.585 90.00 90.00 141.94
Sites, in units of the cell vectors:
1 Tm 0.043 0.957 0.750
2 Tm 0.957 0.043 0.250
3 Co 0.334 0.666 0.555
4 Co 0.334 0.666 0.945
5 Co 0.666 0.334 0.055
6 Co 0.666 0.334 0.445
7 P 0.231 0.769 0.250
8 P 0.769 0.231 0.750
9 C 0.500 0.500 0.000
10 C 0.500 0.500 0.500

Values from the calculation:
* ΔH_f (0 K): -0.68 eV per atom
* E: -73.44 eV/cell
* crystal system: orthorhombic


Entry 2:
A plane-wave DFT calculation with GGA-PBE was carried out for a geometry-optimized ReSiH structure.

Lattice parameters (Å, degrees): 3.437 3.437 3.109 90.00 90.00 120.00
Sites, in units of the cell vectors:
1 Re 0.000 0.000 0.000
2 Si 0.667 0.333 0.500
3 H 0.333 0.667 0.000

Values from the calculation:
* E: -20.91 eV/cell
* crystal system: hexagonal


Which of these has the lowest E? TmCo2PC


Among the records above, which one has the highest E? ReSiH


Among the records above, which one has the highest E? ReSiH